NaSi: optimized geometry, PBE.

E_form (uncorrected) (eV per atom): 0.130
Mass density (g/cm3): 1.40
Polymorph energy (0 for the lowest one) (meV per atom): 143
Magnetization (Bohr magnetons per cell): 0.000

Geometry as CIF:
```
data_NaSi
_cell_length_a 5.972
_cell_length_b 5.972
_cell_length_c 7.789
_cell_angle_alpha 130.52
_cell_angle_beta 130.52
_cell_angle_gamma 36.77
_space_group_name_H-M_alt 'P 1'
_space_group_IT_number 1
loop_
_space_group_symop_operation_xyz
'x,y,z'
loop_
_atom_site_label
_atom_site_fract_x
_atom_site_fract_y
_atom_site_fract_z
Na1 0.000 0.000 0.000
Na2 0.002 0.002 0.503
Si1 0.333 0.333 0.583
Si2 0.667 0.667 0.416
```